1.
The following is a GGA-PBE calculation of a geometry-optimized HoMg2Zn structure, from Alexandria via LeMat-Bulk.

a b c (Å): 4.3386 4.3386 4.8328
angles (deg): 90.00 90.00 90.00
With the nearest neighbours (Å) after each atom.
Fractional coordinates of all 4 atoms:
Ho 0.0000 0.0000 0.0000  4 Zn 3.07, 8 Mg 3.25
Mg 0.0000 0.5000 0.5000  4 Mg 3.07, 4 Ho 3.25, 4 Zn 3.25
Mg 0.5000 0.0000 0.5000  4 Mg 3.07, 4 Ho 3.25, 4 Zn 3.25
Zn 0.5000 0.5000 0.0000  4 Ho 3.07, 8 Mg 3.25

Results
ΔH_f (0 K) in eV/atom: -0.12

=====

2.
The following is a GGA-PBE calculation of a geometry-optimized HoMg3Zn3 structure, from Alexandria via LeMat-Bulk.

a b c (Å): 8.3319 4.6753 8.3368
angles (deg): 90.00 119.97 90.00
With the nearest neighbours (Å) after each atom.
Fractional coordinates of all 14 atoms:
Ho 0.1668 0.2500 0.3332  9 Zn 3.01-3.04, 3 Mg 3.32-3.33
Ho 0.8332 0.7500 0.6668  9 Zn 3.01-3.04, 3 Mg 3.32-3.33
Mg 0.2548 0.2500 0.9857  4 Zn 2.75-2.94, 4 Mg 3.07
Mg 0.2688 0.7500 0.7547  4 Zn 2.75-2.94, 4 Mg 3.07
Mg 0.4859 0.7500 0.2312  4 Zn 2.75-2.94, 4 Mg 3.07
Mg 0.5141 0.2500 0.7688  4 Zn 2.75-2.94, 4 Mg 3.07
Mg 0.7312 0.2500 0.2453  4 Zn 2.75-2.94, 4 Mg 3.07
Mg 0.7452 0.7500 0.0143  4 Zn 2.75-2.94, 4 Mg 3.07
Zn 0.0230 0.2500 0.6037  4 Mg 2.75-2.94, 2 Zn 2.82, 3 Ho 3.01-3.04
Zn 0.1038 0.7500 0.0804  4 Mg 2.75-2.94, 2 Zn 2.82, 3 Ho 3.01-3.03
Zn 0.4192 0.7500 0.5230  4 Mg 2.75-2.94, 2 Zn 2.82, 3 Ho 3.01-3.03
Zn 0.5808 0.2500 0.4770  4 Mg 2.75-2.94, 2 Zn 2.82, 3 Ho 3.01-3.03
Zn 0.8962 0.2500 0.9196  4 Mg 2.75-2.94, 2 Zn 2.82, 3 Ho 3.01-3.03
Zn 0.9770 0.7500 0.3963  4 Mg 2.75-2.94, 2 Zn 2.82, 3 Ho 3.01-3.04

Results
ΔH_f (0 K) in eV/atom: -0.16

=====

3.
The following is a GGA-PBE calculation of a geometry-optimized Ho3MgZn8 structure, from Alexandria via LeMat-Bulk.

a b c (Å): 9.3343 9.3343 9.3343
angles (deg): 33.66 33.66 33.66
With the nearest neighbours (Å) after each atom.
Fractional coordinates of all 12 atoms:
Ho 0.0000 0.0000 0.0000  12 Zn 3.11-3.19, 3 Mg 3.28, 1 Ho 3.30
Ho 0.1251 0.1251 0.1251  12 Zn 3.15-3.21, 4 Ho 3.30-3.36
Ho 0.5055 0.5055 0.5055  12 Zn 3.12-3.25, 1 Mg 3.25, 3 Ho 3.36
Mg 0.6287 0.6287 0.6287  12 Zn 3.12-3.19, 4 Ho 3.25-3.28
Zn 0.0633 0.0633 0.5668  6 Zn 2.68-2.72
Zn 0.0633 0.5668 0.0633  6 Zn 2.68-2.72
Zn 0.0657 0.5634 0.5634  6 Zn 2.68-2.71
Zn 0.3147 0.3147 0.3147  6 Zn 2.68-2.71
Zn 0.5634 0.0657 0.5634  6 Zn 2.68-2.71
Zn 0.5634 0.5634 0.0657  6 Zn 2.68-2.71
Zn 0.5668 0.0633 0.0633  6 Zn 2.68-2.72
Zn 0.8143 0.8143 0.8143  6 Zn 2.69-2.70

Results
ΔH_f (0 K) in eV/atom: -0.29

=====

Number 1: calculated total energy -9.53 eV/cell, magnetization 0.00 μB/f.u.. Number 2: calculated total energy -28.57 eV/cell, magnetization 0.00 μB/f.u.. Number 3: calculated total energy -29.06 eV/cell, magnetization 0.00 μB/f.u..